A relaxed structure of Ba2NaAlAg. Source: Alexandria via LeMat-Bulk, functional GGA-PBE.

Output
Total energy (eV/atom): -2.36
Fermi-level density of states (states/eV per cell): 6.99
Density (g/cm3): 3.39
Spin magnetization (μB per atom): 0.000
V (A^3/atom): 42.40

Cell: 6.5296 6.5296 4.9718 Å, 90.00 90.00 90.00°
Sites, in units of the cell vectors:
Ba1 0.0000 0.5000 0.0000
Ba2 0.5000 0.0000 0.0000
Na1 0.0000 0.0000 0.5000
Al1 0.5000 0.5000 0.5000
Ag1 0.5000 0.5000 0.0000